Entry 1:
DFT (SCAN) results for BeSb2Pt at its PBEsol-relaxed geometry.

## Properties
uncorrected formation energy = 0.029 eV/atom
space group = I-42d (122)

a = 5.929 Å, b = 5.929 Å, c = 6.794 Å
α = 115.87°, β = 115.87°, γ = 90.00°
Fractional coordinates of all 8 atoms:
1 Sb 0.399 0.875 0.250
2 Sb 0.851 0.375 0.250
3 Sb 0.125 0.149 0.750
4 Sb 0.625 0.601 0.750
5 Pt 0.250 0.750 0.500
6 Pt 0.000 0.000 0.000
7 Be 0.750 0.250 0.500
8 Be 0.500 0.500 0.000


Entry 2:
DFT (SCAN) results for BeSb2Pt at its PBEsol-relaxed geometry.

## Properties
uncorrected formation energy = 0.340 eV/atom
space group = Pmmm (47)

a = 3.007 Å, b = 3.533 Å, c = 6.996 Å
α = 90.00°, β = 90.00°, γ = 90.00°
Fractional coordinates of all 4 atoms:
1 Sb 0.000 0.000 0.753
2 Sb 0.000 0.000 0.247
3 Pt 0.500 0.500 0.500
4 Be 0.500 0.500 0.000


Entry 3:
DFT (SCAN) results for BeSbPt at its PBEsol-relaxed geometry.

## Properties
uncorrected formation energy = -0.146 eV/atom
space group = I4mm (107)

a = 3.050 Å, b = 3.050 Å, c = 5.751 Å
α = 105.38°, β = 105.38°, γ = 90.00°
Fractional coordinates of all 3 atoms:
1 Sb 0.339 0.339 0.678
2 Pt 0.619 0.619 0.238
3 Be 0.042 0.042 0.084